1.
Material: Rb2NaNbCr
Method: DFT, PBE
State: optimized geometry

Cell: 6.9666 4.7020 6.9666 Å, 90.00 90.00 90.00°
Site moments in Bohr magnetons follow the coordinates.
Fractional positions:
1 Rb 0.5000 0.0000 0.0000  0.00
2 Rb 0.0000 0.0000 0.5000  -0.01
3 Na 0.5000 0.5000 0.5000  0.00
4 Cr 0.0000 0.0000 0.0000  2.95
5 Nb 0.0000 0.5000 0.0000  -1.93

Calculated values
* E_form: 1150 meV per atom
* calculated density: 2.47 g/cm³
* VASP energy: -0.126 hartree per atom

---

2.
Material: Na3NbCr2S6
Method: DFT, PBE
State: optimized geometry

Cell: 6.1562 6.1562 6.9681 Å, 98.50 98.50 119.96°
Site moments in Bohr magnetons follow the coordinates.
Fractional positions:
1 S 0.4167 0.0689 0.2061  -0.03
2 S 0.7209 0.7209 0.2060  -0.03
3 S 0.0689 0.4167 0.2061  -0.03
4 S 0.9311 0.5833 0.7939  -0.03
5 S 0.2791 0.2791 0.7940  -0.03
6 S 0.5833 0.9311 0.7939  -0.03
7 Cr 0.3330 0.6670 0.0000  2.64
8 Cr 0.6670 0.3330 0.0000  2.64
9 Nb 0.0000 0.0000 0.0000  -1.15
10 Na 0.5000 0.5000 0.5000  0.00
11 Na 0.8368 0.1632 0.5000  0.00
12 Na 0.1632 0.8368 0.5000  0.00

Calculated values
* calculated density: 3.48 g/cm³
* formation energy without anion corrections: -0.94 eV/atom
* VASP energy: -0.212 hartree per atom

---

3.
Material: Na2NbCr2S6
Method: DFT, PBE
State: optimized geometry

Cell: 5.8274 5.8274 7.1959 Å, 96.71 96.71 119.15°
Site moments in Bohr magnetons follow the coordinates.
Fractional positions:
1 S 0.9469 0.5935 0.3035  -0.02
2 S 0.4065 0.0531 0.6965  -0.02
3 S 0.2806 0.2806 0.2815  -0.01
4 S 0.0531 0.4065 0.6965  -0.02
5 S 0.7194 0.7194 0.7185  -0.01
6 S 0.5935 0.9469 0.3035  -0.02
7 Cr 0.3561 0.6439 0.5000  1.67
8 Cr 0.6439 0.3561 0.5000  1.67
9 Nb 0.0000 0.0000 0.5000  -0.39
10 Na 0.8293 0.1707 0.0000  0.00
11 Na 0.1707 0.8293 0.0000  0.00

Calculated values
* calculated density: 3.48 g/cm³
* formation energy without anion corrections: -0.87 eV/atom
* VASP energy: -0.222 hartree per atom

---

4.
Material: Na2Nb2CrS6
Method: DFT, PBE
State: optimized geometry

Cell: 6.0223 6.0223 7.2436 Å, 97.13 97.13 120.60°
Site moments in Bohr magnetons follow the coordinates.
Fractional positions:
1 Cr 0.0000 0.0000 0.5000  2.39
2 S 0.9457 0.6147 0.3018  -0.02
3 S 0.2407 0.2407 0.2723  -0.01
4 S 0.6147 0.9457 0.3018  -0.02
5 S 0.3853 0.0543 0.6982  -0.02
6 S 0.0543 0.3853 0.6982  -0.02
7 S 0.7593 0.7593 0.7277  -0.01
8 Nb 0.3602 0.6398 0.5000  -0.18
9 Nb 0.6398 0.3602 0.5000  -0.18
10 Na 0.8222 0.1778 0.0000  0.00
11 Na 0.1778 0.8222 0.0000  0.00

Calculated values
* calculated density: 3.61 g/cm³
* formation energy without anion corrections: -1.02 eV/atom
* VASP energy: -0.228 hartree per atom